Record 1
The following is a DFT calculation (PBE) of an optimized crystal structure of BaTbBi.

Output
Energy above the lowest structure with this stoichiometry = 53 meV per atom
Formation energy from the elements = -0.3746 eV/atom
Total moment = 0.01 μB/cell
Density of states at the Fermi level = 12.69 states/eV per cell
Symmetry = No. 38

a b c (Å): 14.2624 5.7714 5.7735
angles (deg): 90.00 90.00 90.00
Sites, in units of the cell vectors:
Ba 0.1588 0.0000 0.0000
Ba 0.1588 0.5000 0.5000
Ba 0.8412 0.0000 0.0000
Ba 0.8412 0.5000 0.5000
Tb 0.3854 0.0000 0.4980
Tb 0.3854 0.5000 0.9980
Tb 0.6146 0.0000 0.4980
Tb 0.6146 0.5000 0.9980
Bi 0.0000 0.0000 0.5003
Bi 0.0000 0.5000 0.0003
Bi 0.5000 0.0000 0.9980
Bi 0.5000 0.5000 0.4980

***

Record 2
The following is a DFT calculation (PBE) of an optimized crystal structure of K2TaAg.

Output
Energy above the lowest structure with this stoichiometry = 472 meV per atom
Formation energy from the elements = 1.2708 eV/atom
Total moment = 3.45 μB/cell
Density of states at the Fermi level = 4.40 states/eV per cell
Symmetry = No. 123

a b c (Å): 4.4325 4.4325 5.7711
angles (deg): 90.00 90.00 90.00
Sites, in units of the cell vectors:
K 0.0000 0.5000 0.0000
K 0.5000 0.0000 0.0000
Ta 0.0000 0.0000 0.5000
Ag 0.5000 0.5000 0.5000

***

Record 3
The following is a DFT calculation (PBE) of an optimized crystal structure of RbThGaI6.

Output
Formation energy (no corrections) = -1.1137 eV/atom
Total moment = 0.00 μB/cell
Density of states at the Fermi level = 0.00 states/eV per cell
Symmetry = No. 163

a b c (Å): 8.3414 8.3414 15.8047
angles (deg): 90.00 90.00 120.00
Sites, in units of the cell vectors:
Rb 0.0000 0.0000 0.0000
Rb 0.0000 0.0000 0.5000
Th 0.3333 0.6667 0.2500
Th 0.6667 0.3333 0.7500
Ga 0.3333 0.6667 0.7500
Ga 0.6667 0.3333 0.2500
I 0.0192 0.3765 0.1380
I 0.0192 0.6426 0.3620
I 0.3574 0.3765 0.3620
I 0.3574 0.9808 0.1380
I 0.3765 0.0192 0.6380
I 0.3765 0.3574 0.8620
I 0.6235 0.6426 0.1380
I 0.6235 0.9808 0.3620
I 0.6426 0.0192 0.8620
I 0.6426 0.6235 0.6380
I 0.9808 0.3574 0.6380
I 0.9808 0.6235 0.8620

***

Record 4
The following is a DFT calculation (PBE) of an optimized crystal structure of PmGaAu.

Output
Energy above the lowest structure with this stoichiometry = 2 meV per atom
Formation energy from the elements = -0.7738 eV/atom
Total moment = 0.00 μB/cell
Density of states at the Fermi level = 3.25 states/eV per cell
Symmetry = No. 187

a b c (Å): 4.5825 4.5825 3.7183
angles (deg): 90.00 90.00 120.00
Sites, in units of the cell vectors:
Pm 0.0000 0.0000 0.0000
Ga 0.6667 0.3333 0.5000
Au 0.3333 0.6667 0.5000

***

Record 5
The following is a DFT calculation (PBE) of an optimized crystal structure of PaTc2B.

Output
Energy above the lowest structure with this stoichiometry = 402 meV per atom
Formation energy from the elements = 0.1114 eV/atom
Total moment = 0.00 μB/cell
Density of states at the Fermi level = 4.09 states/eV per cell
Symmetry = No. 123

a b c (Å): 2.8527 2.8527 7.3428
angles (deg): 90.00 90.00 90.00
Sites, in units of the cell vectors:
Pa 0.0000 0.0000 0.0000
Tc 0.5000 0.5000 0.3334
Tc 0.5000 0.5000 0.6666
B 0.0000 0.0000 0.5000

***

Record 6
The following is a DFT calculation (PBE) of an optimized crystal structure of ZrNpIr4.

Output
Formation energy from the elements = -0.5311 eV/atom
Total moment = 3.70 μB/cell
Density of states at the Fermi level = 10.47 states/eV per cell
Symmetry = No. 216

a b c (Å): 5.3017 5.3017 5.3017
angles (deg): 60.00 60.00 60.00
Sites, in units of the cell vectors:
Zr 0.0000 0.0000 0.0000
Np 0.7500 0.7500 0.7500
Ir 0.3750 0.3750 0.3750
Ir 0.3750 0.3750 0.8750
Ir 0.3750 0.8750 0.3750
Ir 0.8750 0.3750 0.3750

***

Record 7
The following is a DFT calculation (PBE) of an optimized crystal structure of MnIn2Pb.

Output
Formation energy from the elements = 0.3253 eV/atom
Total moment = 8.30 μB/cell
Density of states at the Fermi level = 4.86 states/eV per cell
Symmetry = No. 12

a b c (Å): 6.1933 11.1743 3.4893
angles (deg): 90.00 124.07 90.00
Sites, in units of the cell vectors:
Mn 0.0000 0.0000 0.0000
Mn 0.5000 0.5000 0.0000
In 0.2500 0.2500 0.0000
In 0.2500 0.7500 0.0000
In 0.7500 0.2500 0.0000
In 0.7500 0.7500 0.0000
Pb 0.0000 0.5000 0.0000
Pb 0.5000 0.0000 0.0000

***

Record 8
The following is a DFT calculation (PBE) of an optimized crystal structure of MgZr2Zn.

Output
Energy above the lowest structure with this stoichiometry = 0 meV per atom
Formation energy from the elements = -0.1129 eV/atom
Total moment = 0.00 μB/cell
Density of states at the Fermi level = 3.67 states/eV per cell
Symmetry = No. 99

a b c (Å): 3.1365 3.1365 8.4087
angles (deg): 90.00 90.00 90.00
Sites, in units of the cell vectors:
Mg 0.0000 0.0000 0.0000
Zr 0.0000 0.0000 0.4434
Zr 0.5000 0.5000 0.7167
Zn 0.5000 0.5000 0.2102

***

Record 9
The following is a DFT calculation (PBE) of an optimized crystal structure of Tb5CeHo2Tm.

Output
Formation energy from the elements = 0.1724 eV/atom
Total moment = 1.50 μB/cell
Density of states at the Fermi level = 34.99 states/eV per cell
Symmetry = No. 36

a b c (Å): 10.5795 10.5795 10.1657
angles (deg): 90.00 90.00 149.35
Sites, in units of the cell vectors:
Tb 0.0151 0.9849 0.5000
Tb 0.2730 0.7270 0.2003
Tb 0.2993 0.7007 0.8136
Tb 0.3880 0.6120 0.4885
Tb 0.4778 0.5222 0.7752
Tb 0.5222 0.4778 0.2752
Tb 0.6120 0.3880 0.9885
Tb 0.7007 0.2993 0.3136
Tb 0.7270 0.2730 0.7003
Tb 0.9849 0.0151 0.0000
Ce 0.1968 0.8032 0.5005
Ce 0.8032 0.1968 0.0005
Ho 0.1133 0.8867 0.2004
Ho 0.1161 0.8839 0.7869
Ho 0.8839 0.1161 0.2869
Ho 0.8867 0.1133 0.7004
Tm 0.4065 0.5935 0.0694
Tm 0.5935 0.4065 0.5694

***

Record 10
The following is a DFT calculation (PBE) of an optimized crystal structure of AsPtSe2.

Output
Formation energy (no corrections) = 0.3778 eV/atom
Total moment = 0.00 μB/cell
Density of states at the Fermi level = 5.51 states/eV per cell
Symmetry = No. 65

a b c (Å): 2.9050 5.6984 9.6373
angles (deg): 90.00 90.00 90.00
Sites, in units of the cell vectors:
As 0.0000 0.0000 0.0000
As 0.5000 0.5000 0.0000
Pt 0.0000 0.0000 0.5000
Pt 0.5000 0.5000 0.5000
Se 0.0000 0.5000 0.2797
Se 0.0000 0.5000 0.7203
Se 0.5000 0.0000 0.2797
Se 0.5000 0.0000 0.7203

***

Record 11
The following is a DFT calculation (PBE) of an optimized crystal structure of ScTi4Tc5.

Output
Formation energy from the elements = -0.3973 eV/atom
Total moment = 0.00 μB/cell
Density of states at the Fermi level = 11.44 states/eV per cell
Symmetry = No. 123

a b c (Å): 3.1242 3.1242 15.7566
angles (deg): 90.00 90.00 90.00
Sites, in units of the cell vectors:
Sc 0.0000 0.0000 0.0000
Ti 0.0000 0.0000 0.2053
Ti 0.0000 0.0000 0.4022
Ti 0.0000 0.0000 0.5978
Ti 0.0000 0.0000 0.7947
Tc 0.5000 0.5000 0.1110
Tc 0.5000 0.5000 0.3043
Tc 0.5000 0.5000 0.5000
Tc 0.5000 0.5000 0.6957
Tc 0.5000 0.5000 0.8890

***

Record 12
The following is a DFT calculation (PBE) of an optimized crystal structure of CuRuRh2.

Output
Energy above the lowest structure with this stoichiometry = 169 meV per atom
Formation energy from the elements = 0.1974 eV/atom
Total moment = 1.35 μB/cell
Density of states at the Fermi level = 5.94 states/eV per cell
Symmetry = No. 123

a b c (Å): 3.8448 3.8448 3.7359
angles (deg): 90.00 90.00 90.00
Sites, in units of the cell vectors:
Cu 0.0000 0.0000 0.0000
Ru 0.5000 0.5000 0.0000
Rh 0.0000 0.5000 0.5000
Rh 0.5000 0.0000 0.5000

***

Record 13
The following is a DFT calculation (PBE) of an optimized crystal structure of TlGa2Si2.

Output
Energy above the lowest structure with this stoichiometry = 179 meV per atom
Formation energy (no corrections) = 0.3117 eV/atom
Total moment = 0.00 μB/cell
Density of states at the Fermi level = 4.11 states/eV per cell
Symmetry = No. 127

a b c (Å): 8.1095 8.1095 2.9999
angles (deg): 90.00 90.00 90.00
Sites, in units of the cell vectors:
Tl 0.0000 0.0000 0.0000
Tl 0.5000 0.5000 0.0000
Ga 0.1610 0.3390 0.5000
Ga 0.3390 0.8390 0.5000
Ga 0.6610 0.1610 0.5000
Ga 0.8390 0.6610 0.5000
Si 0.1247 0.6247 0.0000
Si 0.3753 0.1247 0.0000
Si 0.6247 0.8753 0.0000
Si 0.8753 0.3753 0.0000

***

Record 14
The following is a DFT calculation (PBE) of an optimized crystal structure of Ta2WAu.

Output
Energy above the lowest structure with this stoichiometry = 158 meV per atom
Formation energy from the elements = 0.1118 eV/atom
Total moment = 0.00 μB/cell
Density of states at the Fermi level = 3.25 states/eV per cell
Symmetry = No. 6

a b c (Å): 2.7989 4.7912 5.2625
angles (deg): 90.00 96.07 90.00
Sites, in units of the cell vectors:
Ta 0.0000 0.0000 0.0000
Ta 0.2250 0.5000 0.7014
W 0.6516 0.5000 0.1850
Au 0.6161 0.0000 0.4948

***

Record 15
The following is a DFT calculation (PBE) of an optimized crystal structure of YZr2Se.

Output
Formation energy (no corrections) = -0.3569 eV/atom
Total moment = 0.00 μB/cell
Density of states at the Fermi level = 4.84 states/eV per cell
Symmetry = No. 10

a b c (Å): 3.5820 5.1813 5.2749
angles (deg): 90.00 101.54 90.00
Sites, in units of the cell vectors:
Y 0.0000 0.0000 0.0000
Zr 0.3627 0.5000 0.7354
Zr 0.6373 0.5000 0.2646
Se 0.5000 0.0000 0.5000

***

Record 16
The following is a DFT calculation (PBE) of an optimized crystal structure of GaHgOs2Cl.

Output
Formation energy (no corrections) = 2.2662 eV/atom
Total moment = 5.65 μB/cell
Density of states at the Fermi level = 5.84 states/eV per cell
Symmetry = No. 123

a b c (Å): 5.1334 5.1334 5.6715
angles (deg): 90.00 90.00 90.00
Sites, in units of the cell vectors:
Ga 0.0000 0.0000 0.0000
Hg 0.5000 0.5000 0.5000
Os 0.0000 0.5000 0.5000
Os 0.5000 0.0000 0.5000
Cl 0.5000 0.5000 0.0000

***

Record 17
The following is a DFT calculation (PBE) of an optimized crystal structure of Hf3TiP.

Output
Energy above the lowest structure with this stoichiometry = 0 meV per atom
Formation energy from the elements = -0.4689 eV/atom
Total moment = 0.00 μB/cell
Density of states at the Fermi level = 8.82 states/eV per cell
Symmetry = No. 12

a b c (Å): 6.4140 6.4140 6.4520
angles (deg): 119.37 119.37 77.46
Sites, in units of the cell vectors:
Hf 0.0554 0.0554 0.2845
Hf 0.0757 0.4635 0.7886
Hf 0.4635 0.0757 0.7886
Hf 0.5365 0.9243 0.2114
Hf 0.9243 0.5365 0.2114
Hf 0.9446 0.9446 0.7155
Ti 0.4353 0.4353 0.6388
Ti 0.5647 0.5647 0.3612
P 0.2587 0.2587 0.1297
P 0.7413 0.7413 0.8703

***

Record 18
The following is a DFT calculation (PBE) of an optimized crystal structure of PuScSe2O.

Output
Formation energy (no corrections) = -2.1217 eV/atom
Total moment = 9.54 μB/cell
Density of states at the Fermi level = 12.86 states/eV per cell
Symmetry = No. 129

a b c (Å): 3.8773 3.8773 13.8133
angles (deg): 90.00 90.00 90.00
Sites, in units of the cell vectors:
Pu 0.2500 0.2500 0.0899
Pu 0.7500 0.7500 0.9101
Sc 0.2500 0.2500 0.6121
Sc 0.7500 0.7500 0.3879
Se 0.2500 0.2500 0.4073
Se 0.2500 0.2500 0.7990
Se 0.7500 0.7500 0.2010
Se 0.7500 0.7500 0.5927
O 0.2500 0.7500 0.0000
O 0.7500 0.2500 0.0000

***

Record 19
The following is a DFT calculation (PBE) of an optimized crystal structure of Pa2SbPt2.

Output
Formation energy (no corrections) = -0.9013 eV/atom
Total moment = 0.00 μB/cell
Density of states at the Fermi level = 9.97 states/eV per cell
Symmetry = No. 127

a b c (Å): 7.6117 7.6117 3.8909
angles (deg): 90.00 90.00 90.00
Sites, in units of the cell vectors:
Pa 0.1727 0.3273 0.0000
Pa 0.3273 0.8273 0.0000
Pa 0.6727 0.1727 0.0000
Pa 0.8273 0.6727 0.0000
Sb 0.0000 0.0000 0.5000
Sb 0.5000 0.5000 0.5000
Pt 0.1301 0.6301 0.5000
Pt 0.3699 0.1301 0.5000
Pt 0.6301 0.8699 0.5000
Pt 0.8699 0.3699 0.5000